## RbZnSnSe3 (PBE)

Data for a geometry-optimized RbZnSnSe3 structure.

## Properties
**D(E_F)**: 0.422 states/eV/atom
**Formation energy (no corrections)**: -67.7 kJ per mole of atoms
**Final energy**: -3.485 eV/atom
**Calculated volume**: 31.33 A^3/atom
**Symmetry**: No. 11

Cell: 9.718 4.059 10.023 Å, 90.00 108.05 90.00°
Element x y z (fractional)
Rb  0.198  0.250  0.239
Rb  0.802  0.750  0.761
Zn  0.083  0.250  0.607
Zn  0.917  0.750  0.393
Sn  0.341  0.750  0.871
Sn  0.659  0.250  0.129
Se  0.130  0.250  0.864
Se  0.189  0.750  0.528
Se  0.461  0.750  0.158
Se  0.539  0.250  0.842
Se  0.811  0.250  0.472
Se  0.870  0.750  0.136

---

## Rb2Zn2SnSe4 (PBE)

Data for a geometry-optimized Rb2Zn2SnSe4 structure.

## Properties
**Formation energy (no corrections)**: -78.9 kJ per mole of atoms
**Final energy**: -3.309 eV/atom
**Calculated volume**: 29.61 A^3/atom
**Symmetry**: No. 12

Cell: 8.411 8.411 8.206 Å, 109.24 109.24 29.22°
Element x y z (fractional)
Rb  0.127  0.127  0.040
Rb  0.873  0.873  0.960
Zn  0.329  0.329  0.526
Zn  0.671  0.671  0.474
Sn  0.000  0.000  0.500
Se  0.206  0.206  0.663
Se  0.474  0.474  0.741
Se  0.526  0.526  0.259
Se  0.794  0.794  0.337

---

## Rb2ZrSnSe5 (PBE)

Data for a geometry-optimized Rb2ZrSnSe5 structure.

## Properties
**Formation energy (no corrections)**: -98.1 kJ per mole of atoms
**Final energy**: -4.562 eV/atom
**Calculated volume**: 34.11 A^3/atom
**Symmetry**: No. 36

Cell: 10.360 10.360 14.843 Å, 90.00 90.00 157.33°
Element x y z (fractional)
Rb  0.126  0.874  0.500
Rb  0.133  0.867  0.138
Rb  0.867  0.133  0.638
Rb  0.874  0.126  0.000
Zr  0.213  0.787  0.849
Zr  0.787  0.213  0.349
Sn  0.436  0.564  0.241
Sn  0.564  0.436  0.741
Se  0.058  0.942  0.854
Se  0.301  0.699  0.465
Se  0.309  0.691  0.215
Se  0.333  0.667  0.821
Se  0.497  0.503  0.098
Se  0.503  0.497  0.598
Se  0.667  0.333  0.321
Se  0.691  0.309  0.715
Se  0.699  0.301  0.965
Se  0.942  0.058  0.354

---

## RbSr2Se (PBE)

Data for a geometry-optimized RbSr2Se structure.

## Properties
**D(E_F)**: 1.180 states/eV/atom
**Formation energy (no corrections)**: -66.8 kJ per mole of atoms
**Final energy**: -2.647 eV/atom
**Calculated volume**: 51.53 A^3/atom
**Symmetry**: No. 122

Cell: 8.333 8.333 8.333 Å, 101.33 101.33 127.37°
Element x y z (fractional)
Rb  0.000  0.000  0.000
Rb  0.750  0.250  0.500
Sr  0.249  0.625  0.124
Sr  0.375  0.499  0.624
Sr  0.501  0.125  0.876
Sr  0.875  0.751  0.376
Se  0.250  0.750  0.500
Se  0.500  0.500  0.000

---

## RbSr2Se (PBE)

Data for a geometry-optimized RbSr2Se structure.

## Properties
**D(E_F)**: 0.575 states/eV/atom
**Formation energy (no corrections)**: -82.3 kJ per mole of atoms
**Final energy**: -2.807 eV/atom
**Calculated volume**: 49.80 A^3/atom
**Symmetry**: No. 166

Cell: 12.439 12.439 12.439 Å, 20.12 20.12 20.12°
Element x y z (fractional)
Rb  0.000  0.000  0.000
Sr  0.115  0.115  0.115
Sr  0.885  0.885  0.885
Se  0.500  0.500  0.500

---

## Rb2SrSe2 (PBE)

Data for a geometry-optimized Rb2SrSe2 structure.

## Properties
**D(E_F)**: 0.000 states/eV/atom
**Formation energy (no corrections)**: -112.4 kJ per mole of atoms
**Final energy**: -3.282 eV/atom
**Calculated volume**: 37.24 A^3/atom
**Symmetry**: No. 127

Cell: 8.660 8.660 4.966 Å, 90.00 90.00 90.00°
Element x y z (fractional)
Rb  0.131  0.369  0.000
Rb  0.369  0.869  0.000
Rb  0.631  0.131  0.000
Rb  0.869  0.631  0.000
Sr  0.000  0.000  0.500
Sr  0.500  0.500  0.500
Se  0.183  0.683  0.500
Se  0.317  0.183  0.500
Se  0.683  0.817  0.500
Se  0.817  0.317  0.500